[1]
The following is a GGA-PBE calculation of an optimized crystal structure of DyErHf, from Alexandria via LeMat-Bulk.

Lattice parameters (Å, degrees): 9.175 3.399 14.819 117.28 28.33 100.66
Positions (direct):
Dy (0.539, 0.817, 0.841)
Dy (0.497, 0.234, 0.310)
Er (0.107, 0.583, 0.331)
Hf (0.264, 0.109, 0.806)
Hf (0.773, 0.942, 0.345)
Er (0.929, 0.469, 0.820)

Summary:
**Formation energy from the elements**: 0.09 eV per atom
**Relative energy among the computed polymorphs**: 0.000 eV/atom
**Uncorrected energy**: -6.284 eV per atom

=====

[2]
The following is a GGA-PBE calculation of an optimized crystal structure of Ta2TlHg, from Alexandria via LeMat-Bulk.

Lattice parameters (Å, degrees): 5.253 5.253 5.324 80.59 80.59 33.93
Positions (direct):
Tl (0.750, 0.750, 0.750)
Ta (0.502, 0.502, 0.487)
Hg (0.250, 0.250, 0.250)
Ta (0.998, 0.998, 0.013)

Summary:
**Formation energy from the elements**: 0.50 eV per atom
**Uncorrected energy**: -6.096 eV per atom

=====

[3]
The following is a GGA-PBE calculation of an optimized crystal structure of TaTlCr2, from Alexandria via LeMat-Bulk.

Lattice parameters (Å, degrees): 7.266 7.266 5.894 51.95 51.95 90.00
Positions (direct):
Cr (0.875, 0.850, 0.750)
Cr (0.375, 0.400, 0.750)
Tl (0.000, 0.000, 0.000)
Ta (0.250, 0.750, 0.500)
Cr (0.600, 0.125, 0.250)
Tl (0.750, 0.250, 0.500)
Ta (0.500, 0.500, 0.000)
Cr (0.150, 0.625, 0.250)

Summary:
**Formation energy from the elements**: 1.06 eV per atom
**Relative energy among the computed polymorphs**: 0.682 eV/atom
**Uncorrected energy**: -7.304 eV per atom

=====

[4]
The following is a GGA-PBE calculation of an optimized crystal structure of KCd3Sn3, from Alexandria via LeMat-Bulk.

Lattice parameters (Å, degrees): 8.527 8.527 8.242 58.85 58.85 60.00
Positions (direct):
K (0.624, 0.624, 0.129)
Sn (0.329, 0.931, 0.810)
Sn (0.070, 0.671, 0.190)
Sn (0.930, 0.329, 0.810)
Cd (0.679, 0.075, 0.566)
Cd (0.321, 0.321, 0.434)
Sn (0.931, 0.930, 0.810)
Cd (0.925, 0.321, 0.434)
Sn (0.069, 0.070, 0.190)
Cd (0.679, 0.679, 0.566)
Sn (0.671, 0.069, 0.190)
Cd (0.075, 0.679, 0.566)
Cd (0.321, 0.925, 0.434)
K (0.376, 0.376, 0.871)

Summary:
**Formation energy from the elements**: -0.02 eV per atom
**Relative energy among the computed polymorphs**: 0.000 eV/atom
**Uncorrected energy**: -2.288 eV per atom

=====

[5]
The following is a GGA-PBE calculation of an optimized crystal structure of Ho2TmReO8, from Alexandria via LeMat-Bulk.

Lattice parameters (Å, degrees): 5.019 5.018 6.679 90.00 90.00 90.89
Positions (direct):
O (0.730, 0.730, 0.000)
O (0.181, 0.819, 0.210)
O (0.819, 0.181, 0.790)
O (0.305, 0.304, 0.500)
O (0.695, 0.696, 0.500)
O (0.819, 0.181, 0.210)
Ho (0.500, 0.500, 0.253)
Ho (0.500, 0.500, 0.747)
Tm (0.000, 0.000, 0.500)
O (0.181, 0.819, 0.790)
O (0.270, 0.270, 0.000)
Re (0.000, 0.000, 0.000)

Summary:
**Uncorrected energy**: -8.294 eV per atom

=====

[6]
The following is a GGA-PBE calculation of an optimized crystal structure of TbNpSb2, from Alexandria via LeMat-Bulk.

Lattice parameters (Å, degrees): 4.369 4.369 7.861 73.87 73.87 60.00
Positions (direct):
Sb (0.252, 0.252, 0.245)
Sb (0.082, 0.082, 0.755)
Tb (0.498, 0.498, 0.506)
Np (0.669, 0.669, 0.994)

Summary:
**Relative energy among the computed polymorphs**: 0.108 eV/atom
**Uncorrected energy**: -7.011 eV per atom

=====

[7]
The following is a GGA-PBE calculation of an optimized crystal structure of La2Pd5Au4, from Alexandria via LeMat-Bulk.

Lattice parameters (Å, degrees): 5.599 5.439 9.337 81.12 72.55 59.02
Positions (direct):
Pd (0.500, 0.500, 0.000)
Au (0.533, 0.678, 0.256)
Pd (0.250, 0.500, 0.500)
Au (0.211, 0.322, 0.256)
Pd (0.500, 0.000, 0.000)
Pd (0.000, 0.500, 0.000)
La (0.129, 0.000, 0.741)
Au (0.467, 0.322, 0.744)
Pd (0.750, 0.500, 0.500)
La (0.871, 0.000, 0.259)
Au (0.789, 0.678, 0.744)

Summary:
**Formation energy from the elements**: -0.56 eV per atom
**Uncorrected energy**: -5.010 eV per atom

=====

[8]
The following is a GGA-PBE calculation of an optimized crystal structure of CdCuBr2, from Alexandria via LeMat-Bulk.

Lattice parameters (Å, degrees): 8.849 8.849 8.849 155.47 152.28 37.35
Positions (direct):
Cd (0.306, 0.306, 0.000)
Br (0.905, 0.405, 0.500)
Br (0.102, 0.102, 0.000)
Cu (0.188, 0.688, 0.500)

Summary:
**Relative energy among the computed polymorphs**: 0.108 eV/atom
**Uncorrected energy**: -2.271 eV per atom

=====

N(E_F) list, top to bottom, in states/eV/f.u.: 4.55, 3.65, 3.32, 2.71, 0.00, 8.79, 3.90, 3.26
Total magnetization list, top to bottom, in μB/f.u.: 0.0, 0.0, 5.2, 0.0, 0.0, 4.0, 0.0, 0.0